w.
Density functional theory data (PBE-GGA) for an optimized crystal structure of Nb3CdNi.

Its total magnetization is 0.07 μB/f.u.

The structure belongs to space group Pm-3m (No. 221); the cell edges are 4.962, 4.962 and 4.962 Å and the angles 90.00°, 90.00° and 90.00°. The asymmetric unit holds Nb at (0.000, 0.000, 0.500), Cd at (0.000, 0.000, 0.000) and Ni at (0.500, 0.500, 0.500).

x.
Density functional theory data (PBE-GGA) for an optimized crystal structure of Nb3CdNi.

Its total magnetization is 0.00 μB/f.u.

The structure belongs to space group Pm-3m (No. 221); the cell edges are 4.660, 4.660 and 4.660 Å and the angles 90.00°, 90.00° and 90.00°. The asymmetric unit holds Nb at (0.000, 0.000, 0.500), Cd at (0.500, 0.500, 0.500) and Ni at (0.000, 0.000, 0.000).

The computed energies, referenced to the most stable structure and given in meV per atom, are w 1565; x 0.

w.
Density functional theory data (PBE-GGA) for an optimized crystal structure of NbCdNi.

Its total magnetization is 0.00 μB/f.u.

The structure belongs to space group I4mm (No. 107); the cell edges are 2.875, 2.875 and 11.919 Å and the angles 90.00°, 90.00° and 90.00°. The asymmetric unit holds Nb at (0.000, 0.000, 0.000), Cd at (0.000, 0.000, 0.699) and Ni at (0.000, 0.000, 0.358).

x.
Density functional theory data (PBE-GGA) for an optimized crystal structure of NbCdNi.

Its total magnetization is 0.00 μB/f.u.

The structure belongs to space group P4/mmm (No. 123); the cell edges are 2.877, 2.877 and 11.852 Å and the angles 90.00°, 90.00° and 90.00°. The asymmetric unit holds Nb at (0.000, 0.000, 0.148), Cd at (0.500, 0.500, 0.346), Ni at (0.000, 0.000, 0.500) and Ni at (0.500, 0.500, 0.000).

The computed energies, referenced to the most stable structure and given in meV per atom, are w 0; x 33.

w.
Density functional theory data (PBE-GGA) for an optimized crystal structure of Nb3CdO.

Its total magnetization is 0.00 μB/f.u.

The structure belongs to space group Pm-3m (No. 221); the cell edges are 4.319, 4.319 and 4.319 Å and the angles 90.00°, 90.00° and 90.00°. The asymmetric unit holds Nb at (0.000, 0.000, 0.500), Cd at (0.500, 0.500, 0.500) and O at (0.000, 0.000, 0.000).

x.
Density functional theory data (PBE-GGA) for an optimized crystal structure of Nb3CdO.

Its total magnetization is 0.00 μB/f.u.

The structure belongs to space group Pm-3m (No. 221); the cell edges are 5.003, 5.003 and 5.003 Å and the angles 90.00°, 90.00° and 90.00°. The asymmetric unit holds Nb at (0.000, 0.000, 0.500), Cd at (0.000, 0.000, 0.000) and O at (0.500, 0.500, 0.500).

The computed energies, referenced to the most stable structure and given in meV per atom, are w 0; x 3016.

w.
Density functional theory data (PBE-GGA) for an optimized crystal structure of NbCdPO2.

Its total magnetization is 0.99 μB/f.u.

The structure belongs to space group P4/mmm (No. 123); the cell edges are 4.010, 4.010 and 5.074 Å and the angles 90.00°, 90.00° and 90.00°. The asymmetric unit holds Nb at (0.000, 0.000, 0.000), Cd at (0.500, 0.500, 0.500), P at (0.500, 0.500, 0.000) and O at (0.000, 0.500, 0.500).

x.
Density functional theory data (PBE-GGA) for an optimized crystal structure of NbCdPO2.

Its total magnetization is 0.00 μB/f.u.

The structure belongs to space group P4/mmm (No. 123); the cell edges are 3.934, 3.934 and 5.337 Å and the angles 90.00°, 90.00° and 90.00°. The asymmetric unit holds Nb at (0.000, 0.000, 0.000), Cd at (0.500, 0.500, 0.500), P at (0.000, 0.000, 0.500) and O at (0.000, 0.500, 0.000).

The computed energies, referenced to the most stable structure and given in meV per atom, are w 1774; x 0.